This record from Alexandria describes a relaxed structure of KTe3. The functional is GGA-PBE.

Output
- Total moment: 0.000 μB per atom
- Polymorph energy (0 for the lowest one): 27 meV/atom
- E_form (uncorrected): -0.36 eV per atom
- Crystal system: orthorhombic

Unit cell a=7.349 b=7.349 c=7.349 alpha=142.67 beta=142.58 gamma=53.89
Positions (direct):
K 0.834 0.000 0.834
Te 0.102 0.270 0.833
Te 0.334 0.500 0.834
Te 0.563 0.730 0.833